<i>
LiReSb2 | PBE | relaxed

Its total magnetization is 0.000 μB per atom. The crystal system is tetragonal.

a b c (Å): 3.262 3.262 7.689
angles (deg): 90.00 90.00 90.00
Fractional positions:
1 Re 0.500 0.500 0.750
2 Sb 0.000 0.000 0.534
3 Li 0.500 0.500 0.250
4 Sb 0.000 0.000 0.966



<ii>
LiReSb2 | PBE | relaxed

Its total magnetization is 0.000 μB per atom. The crystal system is monoclinic.

a b c (Å): 4.564 4.564 5.810
angles (deg): 80.60 80.60 42.47
Fractional positions:
1 Sb 0.985 0.985 0.023
2 Li 0.750 0.750 0.750
3 Sb 0.515 0.515 0.477
4 Re 0.250 0.250 0.250



Of them, <i> has the highest stability.



<i>
AgIrRu | PBE | relaxed

Its total magnetization is 0.000 μB per atom. The crystal system is tetragonal.

a b c (Å): 6.374 6.374 6.374
angles (deg): 154.92 154.92 35.76
Fractional positions:
1 Ag 0.001 0.001 0.000
2 Ru 0.679 0.679 0.000
3 Ir 0.320 0.320 0.000



<ii>
AgIrRu | PBE | relaxed

Its total magnetization is 0.000 μB per atom. The crystal system is trigonal.

a b c (Å): 2.751 2.751 7.002
angles (deg): 90.00 90.00 120.00
Fractional positions:
1 Ag 0.000 0.000 0.999
2 Ir 0.667 0.333 0.351
3 Ru 0.333 0.667 0.651



Of them, <ii> has the highest stability.



<i>
LaAs2Os | PBE | relaxed

Its total magnetization is 0.000 μB per atom. The crystal system is orthorhombic.

a b c (Å): 7.147 7.147 7.147
angles (deg): 153.74 148.31 41.61
Fractional positions:
1 Os 0.209 0.709 0.500
2 As 0.068 0.068 0.000
3 La 0.448 0.448 0.000
4 As 0.774 0.274 0.500



<ii>
LaAs2Os | PBE | relaxed

Its total magnetization is 0.000 μB per atom. The crystal system is orthorhombic.

a b c (Å): 3.291 3.291 7.245
angles (deg): 90.00 90.00 97.58
Fractional positions:
1 Os 0.500 0.500 0.750
2 La 0.500 0.500 0.250
3 As 0.000 0.000 0.952
4 As 0.000 0.000 0.548



Of them, <i> has the highest stability.



<i>
ZrSi3W | PBE | relaxed

Its total magnetization is 0.000 μB per atom. The crystal system is cubic.

a b c (Å): 4.677 4.677 4.677
angles (deg): 90.00 90.00 90.00
Fractional positions:
1 Zr 0.500 0.500 0.500
2 Si 0.000 0.500 0.000
3 Si 0.000 0.000 0.500
4 W 0.000 0.000 0.000
5 Si 0.500 0.000 0.000



<ii>
ZrSi3W | PBE | relaxed

Its total magnetization is 0.000 μB per atom. The crystal system is cubic.

a b c (Å): 4.780 4.780 4.780
angles (deg): 90.00 90.00 90.00
Fractional positions:
1 Si 0.000 0.000 0.500
2 Si 0.000 0.500 0.000
3 W 0.500 0.500 0.500
4 Si 0.500 0.000 0.000
5 Zr 0.000 0.000 0.000



Of them, <i> has the highest stability.